{"formula": "Co3C4", "functional": "meta-GGA SCAN", "state": "PBEsol geometry", "lattice": [[-1.425, 1.425, 6.600], [1.425, -1.425, 6.600], [1.425, 1.425, -6.600]], "species": ["Co", "Co", "Co", "C", "C", "C", "C"], "frac_coords": [[0.000, 0.000, 0.000], [0.309, 0.309, 0.000], [0.691, 0.691, 0.000], [0.162, 0.162, 0.000], [0.450, 0.450, 0.000], [0.550, 0.550, 0.000], [0.838, 0.838, 0.000]], "dft_energy_ev_per_cell": -84.71, "de_polymorph_ev_per_fu": 0.00, "ef_ev_per_fu": 7.6}